# LiHoZrPt GGA-PBE optimized geometry
# * calculated formation energy: -0.510 eV per atom
# * Fermi-level density of states: 0.859 states/eV per atom
data_LiHoZrPt
_space_group_name_H-M_alt 'F -4 3 m'
_space_group_IT_number 216
_space_group_name_Hall 'F -4 2 3'
_cell_length_a 6.835
_cell_length_b 6.835
_cell_length_c 6.835
_cell_angle_alpha 90.00
_cell_angle_beta 90.00
_cell_angle_gamma 90.00
loop_
_atom_site_label
_atom_site_fract_x
_atom_site_fract_y
_atom_site_fract_z
_atom_site_occupancy
Li1 0.000 0.000 0.000 1
Ho1 0.250 0.250 0.750 1
Zr1 0.250 0.250 0.250 1
Pt1 0.000 0.000 0.500 1